Material: K3Tc2O8
Method: DFT, GGA-PBE
State: optimized geometry

Unit cell a=7.819 b=7.819 c=7.819 alpha=44.42 beta=44.42 gamma=44.42
Positions (direct):
K 0.000 0.000 0.000
K 0.198 0.198 0.198
K 0.802 0.802 0.802
Tc 0.404 0.404 0.404
Tc 0.596 0.596 0.596
O 0.244 0.729 0.729
O 0.271 0.271 0.756
O 0.271 0.756 0.271
O 0.321 0.321 0.321
O 0.679 0.679 0.679
O 0.729 0.244 0.729
O 0.729 0.729 0.244
O 0.756 0.271 0.271

Summary:
As for the symmetry: R-3m, No. 166. The calculation puts the final energy at -6.583 eV/atom.

Material: K2TcO3
Method: DFT, GGA-PBE
State: optimized geometry

Unit cell a=6.045 b=6.045 c=5.867 alpha=90.00 beta=90.00 gamma=70.04
Positions (direct):
K 0.021 0.320 0.250
K 0.320 0.021 0.750
K 0.680 0.979 0.250
K 0.979 0.680 0.750
Tc 0.409 0.591 0.250
Tc 0.591 0.409 0.750
O 0.144 0.856 0.250
O 0.376 0.376 0.000
O 0.376 0.376 0.500
O 0.624 0.624 0.000
O 0.624 0.624 0.500
O 0.856 0.144 0.750

Summary:
The energy above the most stable polymorph in this dataset comes out at 60.4 meV per atom. As for the symmetry: Cmcm, No. 63. The calculation puts the final energy at -5.934 eV/atom.

Material: KTcO4
Method: DFT, GGA-PBE
State: optimized geometry

Unit cell a=7.463 b=7.463 c=7.463 alpha=136.27 beta=136.27 gamma=63.56
Positions (direct):
K 0.375 0.125 0.250
K 0.625 0.875 0.750
Tc 0.125 0.375 0.750
Tc 0.875 0.625 0.250
O 0.090 0.222 0.406
O 0.184 0.590 0.368
O 0.278 0.184 0.868
O 0.316 0.684 0.094
O 0.684 0.316 0.906
O 0.722 0.816 0.132
O 0.816 0.410 0.632
O 0.910 0.778 0.594

Summary:
As for the symmetry: I4_1/a, No. 88. The calculation puts the final energy at -6.889 eV/atom.

Material: K3TcO4
Method: DFT, GGA-PBE
State: optimized geometry

Unit cell a=8.847 b=6.099 c=5.612 alpha=90.00 beta=90.00 gamma=90.00
Positions (direct):
K 0.000 0.196 0.000
K 0.246 0.306 0.477
K 0.254 0.694 0.977
K 0.500 0.804 0.500
K 0.746 0.694 0.977
K 0.754 0.306 0.477
Tc 0.000 0.788 0.440
Tc 0.500 0.212 0.940
O 0.000 0.084 0.488
O 0.000 0.592 0.193
O 0.198 0.742 0.524
O 0.302 0.258 0.024
O 0.500 0.408 0.693
O 0.500 0.916 0.988
O 0.698 0.258 0.024
O 0.802 0.742 0.524

Summary:
As for the symmetry: Pmn2_1, No. 31. The calculation puts the final energy at -5.718 eV/atom.

Material: K2Tc2O5
Method: DFT, GGA-PBE
State: optimized geometry

Unit cell a=3.947 b=3.947 c=8.980 alpha=90.00 beta=90.00 gamma=90.00
Positions (direct):
K 0.000 0.000 0.245
K 0.000 0.000 0.755
Tc 0.500 0.500 0.000
Tc 0.500 0.500 0.500
O 0.000 0.000 0.500
O 0.000 0.500 0.084
O 0.000 0.500 0.916
O 0.500 0.000 0.084
O 0.500 0.000 0.916

Summary:
The energy above the most stable polymorph in this dataset comes out at 1488.0 meV per atom. As for the symmetry: P4/mmm, No. 123. The calculation puts the final energy at -5.176 eV/atom.

Material: K2TcO3
Method: DFT, GGA-PBE
State: optimized geometry

Unit cell a=6.382 b=6.382 c=7.234 alpha=90.00 beta=90.00 gamma=120.00
Positions (direct):
K 0.000 0.000 0.000
K 0.000 0.000 0.500
K 0.333 0.667 0.252
K 0.667 0.333 0.748
Tc 0.333 0.667 0.751
Tc 0.667 0.333 0.249
O 0.104 0.749 0.750
O 0.251 0.355 0.750
O 0.355 0.251 0.250
O 0.645 0.896 0.750
O 0.749 0.104 0.250
O 0.896 0.645 0.250

Summary:
The energy above the most stable polymorph in this dataset comes out at 0.0 meV per atom. As for the symmetry: P321, No. 150. The calculation puts the final energy at -5.995 eV/atom.

Material: KTl3Tc2O6
Method: DFT, GGA-PBE
State: optimized geometry

Unit cell a=6.397 b=6.397 c=7.049 alpha=90.00 beta=90.00 gamma=120.00
Positions (direct):
K 0.000 0.000 0.000
Tl 0.000 0.000 0.500
Tl 0.333 0.667 0.264
Tl 0.667 0.333 0.736
Tc 0.333 0.667 0.730
Tc 0.667 0.333 0.270
O 0.173 0.347 0.753
O 0.173 0.827 0.753
O 0.347 0.173 0.247
O 0.653 0.827 0.753
O 0.827 0.173 0.247
O 0.827 0.653 0.247

Summary:
As for the symmetry: P-3m1, No. 164. The calculation puts the final energy at -5.871 eV/atom.

Material: KTmO2
Method: DFT, GGA-PBE
State: optimized geometry

Unit cell a=6.463 b=6.463 c=6.463 alpha=30.47 beta=30.47 gamma=30.47
Positions (direct):
K 0.000 0.000 0.000
Tm 0.500 0.500 0.500
O 0.228 0.228 0.228
O 0.772 0.772 0.772

Summary:
As for the symmetry: R-3m, No. 166. The calculation puts the final energy at -6.689 eV/atom.